# Sr2YCoO6, relaxed, DFT PBE+U
# E = -133.151 eV for the cell shown
data_Sr2YCoO6
_cell_length_a 5.787
_cell_length_b 5.787
_cell_length_c 7.966
_cell_angle_alpha 90.00
_cell_angle_beta 90.00
_cell_angle_gamma 90.00
_symmetry_space_group_name_H-M 'I 4/m m m'
_symmetry_Int_Tables_number 139
_symmetry_space_group_name_Hall '-I 4 2'
loop_
_atom_site_label
_atom_site_fract_x
_atom_site_fract_y
_atom_site_fract_z
Sr1 0.000 0.500 0.250
Y1 0.000 0.000 0.000
Co1 0.000 0.000 0.500
O1 0.000 0.000 0.277
O2 0.233 0.233 0.500